{
  "formula": "ScTeP",
  "functional": "PBE-GGA",
  "state": "relaxed",
  "total_energy_ev_per_atom": -5.9007,
  "formation_energy_uncorrected_mev_per_atom": -940,
  "lattice": [[21.390, 0.000, 0.000], [0.000, 3.502, 0.000], [0.000, 0.000, 3.801]],
  "species": ["Sc", "Sc", "Sc", "Sc", "Te", "Te", "Te", "Te", "P", "P", "P", "P"],
  "frac_coords": [[0.903, 0.000, 0.772], [0.097, 0.000, 0.772], [0.403, 0.500, 0.272], [0.597, 0.500, 0.272], [0.334, 0.000, 0.773], [0.666, 0.000, 0.773], [0.834, 0.500, 0.273], [0.166, 0.500, 0.273], [0.000, 0.500, 0.678], [0.500, 0.000, 0.178], [0.000, 0.000, 0.262], [0.500, 0.500, 0.762]]
}

{
  "formula": "ScTe2P",
  "functional": "PBE-GGA",
  "state": "relaxed",
  "total_energy_ev_per_atom": -4.6335,
  "formation_energy_uncorrected_mev_per_atom": -127,
  "lattice": [[4.515, -3.338, 1.960], [5.255, 2.586, 1.029], [-5.715, 0.928, 1.357]],
  "species": ["Sc", "Te", "Te", "P"],
  "frac_coords": [[0.000, 0.000, 0.000], [0.750, 0.250, 0.500], [0.250, 0.750, 0.500], [0.500, 0.500, 0.000]]
}

{
  "formula": "ScTeP2",
  "functional": "PBE-GGA",
  "state": "relaxed",
  "total_energy_ev_per_atom": -5.4381,
  "formation_energy_uncorrected_mev_per_atom": -365,
  "lattice": [[-4.022, -1.177, -3.967], [-3.758, -4.263, 1.001], [2.095, 4.944, 2.114]],
  "species": ["P", "P", "Sc", "Te"],
  "frac_coords": [[0.014, 0.014, 0.000], [0.163, 0.663, 0.500], [0.533, 0.533, 0.000], [0.790, 0.290, 0.500]]
}

{
  "formula": "ScTe2P",
  "functional": "PBE-GGA",
  "state": "relaxed",
  "total_energy_ev_per_atom": -4.5574,
  "formation_energy_uncorrected_mev_per_atom": -51,
  "lattice": [[-3.365, -0.010, -4.675], [-4.323, -2.188, 3.116], [-6.250, 6.101, 0.937]],
  "species": ["Sc", "Sc", "P", "P", "Te", "Te", "Te", "Te"],
  "frac_coords": [[0.000, 0.000, 0.000], [0.750, 0.250, 0.500], [0.500, 0.500, 0.000], [0.250, 0.750, 0.500], [0.606, 0.125, 0.250], [0.144, 0.625, 0.250], [0.375, 0.394, 0.750], [0.875, 0.856, 0.750]]
}

no.,DOS at the Fermi energy (states/eV/cell)
1,2.36
2,2.06
3,1.47
4,7.43